No. 1
LiPb2Br | PBE | relaxed

```
data_LiPb2Br
_space_group_name_H-M_alt 'P m m m'
_space_group_IT_number 47
_cell_length_a 3.5681
_cell_length_b 5.4561
_cell_length_c 5.8701
_cell_angle_alpha 90.00
_cell_angle_beta 90.00
_cell_angle_gamma 90.00
loop_
_space_group_symop_operation_xyz
'x,y,z'
'-x,-y,-z'
'-x,-y,z'
'x,y,-z'
'x,-y,-z'
'-x,y,z'
'-x,y,-z'
'x,-y,z'
loop_
_atom_site_label
_atom_site_type_symbol
_atom_site_fract_x
_atom_site_fract_y
_atom_site_fract_z
Li1 Li 0.0000 0.0000 0.0000
Pb1 Pb 0.0000 0.5000 0.5000
Pb2 Pb 0.5000 0.0000 0.5000
Br1 Br 0.5000 0.5000 0.0000
```

Results
Volume, Å³/cell: 114
ΔE_f (raw), eV/atom: -0.2991
Size of the total moment, μB per atom: 0.00
Offset from the most stable computed form, meV/atom: 316
Fermi-level density of states, states/eV/f.u.: 2.26


No. 2
LiPbBr2 | PBE | relaxed

```
data_LiPbBr2
_space_group_name_H-M_alt 'P m m m'
_space_group_IT_number 47
_cell_length_a 3.9229
_cell_length_b 4.5256
_cell_length_c 7.0244
_cell_angle_alpha 90.00
_cell_angle_beta 90.00
_cell_angle_gamma 90.00
loop_
_space_group_symop_operation_xyz
'x,y,z'
'-x,-y,-z'
'-x,-y,z'
'x,y,-z'
'x,-y,-z'
'-x,y,z'
'-x,y,-z'
'x,-y,z'
loop_
_atom_site_label
_atom_site_type_symbol
_atom_site_fract_x
_atom_site_fract_y
_atom_site_fract_z
Li1 Li 0.0000 0.0000 0.0000
Pb1 Pb 0.5000 0.0000 0.5000
Br1 Br 0.0000 0.5000 0.5000
Br2 Br 0.5000 0.5000 0.0000
```

Results
Volume, Å³/cell: 125
ΔE_f (raw), eV/atom: -0.6603
Size of the total moment, μB per atom: 0.00
Offset from the most stable computed form, meV/atom: 287
Fermi-level density of states, states/eV/f.u.: 1.85